Material: Ta2NbGaH
Method: DFT, PBE
State: relaxed

Cell: 3.9884 3.9884 4.5874 Å, 90.00 90.00 90.00°
Space group P4/mmm (No. 123)
Unique sites:
Ta (0.0000, 0.5000, 0.0000) (multiplicity 2)
Nb (0.0000, 0.0000, 0.5000) (multiplicity 1)
Ga (0.5000, 0.5000, 0.5000) (multiplicity 1)
H (0.5000, 0.5000, 0.0000) (multiplicity 1)

***

Material: Nb2GaTcH
Method: DFT, PBE
State: relaxed

Cell: 4.1580 4.1580 3.9348 Å, 90.00 90.00 90.00°
Space group P4/mmm (No. 123)
Unique sites:
Nb (0.0000, 0.5000, 0.0000) (multiplicity 2)
Ga (0.0000, 0.0000, 0.5000) (multiplicity 1)
Tc (0.5000, 0.5000, 0.5000) (multiplicity 1)
H (0.5000, 0.5000, 0.0000) (multiplicity 1)

***

Material: NbGaTc2H
Method: DFT, PBE
State: relaxed

Cell: 4.0577 4.0577 3.8963 Å, 90.00 90.00 90.00°
Space group P4/mmm (No. 123)
Unique sites:
Nb (0.0000, 0.0000, 0.0000) (multiplicity 1)
Ga (0.5000, 0.5000, 0.0000) (multiplicity 1)
Tc (0.0000, 0.5000, 0.5000) (multiplicity 2)
H (0.0000, 0.0000, 0.5000) (multiplicity 1)

***

Material: Nb2VGaH
Method: DFT, PBE
State: relaxed

Cell: 4.2387 4.2387 3.7337 Å, 90.00 90.00 90.00°
Space group P4/mmm (No. 123)
Unique sites:
Nb (0.0000, 0.5000, 0.0000) (multiplicity 2)
V (0.0000, 0.0000, 0.5000) (multiplicity 1)
Ga (0.5000, 0.5000, 0.5000) (multiplicity 1)
H (0.0000, 0.0000, 0.0000) (multiplicity 1)

***

no.,uncorrected energy (eV/cell)
1,-40.53
2,-37.84
3,-37.58
4,-36.65